No. 1
A geometry-optimized YPaW structure, computed with PBE.

Summary:
- Space group: F-43m (216)
- Energy above the lowest structure with this stoichiometry: 0.0 meV per atom

abc: 6.8269 6.8269 6.8269
angles: 90.00 90.00 90.00
With the nearest neighbours (Å) after each atom.
Atoms (fractional coordinates):
Y: 0.0000 0.0000 0.0000  4 W 2.96
Y: 0.0000 0.5000 0.5000  4 W 2.96
Y: 0.5000 0.0000 0.5000  4 W 2.96
Y: 0.5000 0.5000 0.0000  4 W 2.96
Pa: 0.0000 0.0000 0.5000  4 W 2.96
Pa: 0.0000 0.5000 0.0000  4 W 2.96
Pa: 0.5000 0.0000 0.0000  4 W 2.96
Pa: 0.5000 0.5000 0.5000  4 W 2.96
W: 0.2500 0.2500 0.2500  4 Pa 2.96, 4 Y 2.96
W: 0.2500 0.7500 0.7500  4 Pa 2.96, 4 Y 2.96
W: 0.7500 0.2500 0.7500  4 Pa 2.96, 4 Y 2.96
W: 0.7500 0.7500 0.2500  4 Pa 2.96, 4 Y 2.96

No. 2
A geometry-optimized YPa2 structure, computed with PBE.

Summary:
- Space group: Fd-3m (227)

abc: 8.2910 8.2910 8.2910
angles: 60.00 60.00 60.00
With the nearest neighbours (Å) after each atom.
Atoms (fractional coordinates):
Y: 0.1250 0.1250 0.1250  4 Pa 2.54
Y: 0.8750 0.8750 0.8750  4 Pa 2.54
Pa: 0.0000 0.0000 0.0000  2 Y 2.54
Pa: 0.0000 0.0000 0.5000  2 Y 2.54
Pa: 0.0000 0.5000 0.0000  2 Y 2.54
Pa: 0.5000 0.0000 0.0000  2 Y 2.54

No. 3
A geometry-optimized YPaZn structure, computed with PBE.

Summary:
- Space group: F-43m (216)
- Energy above the lowest structure with this stoichiometry: 0.0 meV per atom

abc: 6.8435 6.8435 6.8435
angles: 90.00 90.00 90.00
With the nearest neighbours (Å) after each atom.
Atoms (fractional coordinates):
Y: 0.0000 0.0000 0.0000  4 Zn 2.96
Y: 0.0000 0.5000 0.5000  4 Zn 2.96
Y: 0.5000 0.0000 0.5000  4 Zn 2.96
Y: 0.5000 0.5000 0.0000  4 Zn 2.96
Pa: 0.0000 0.0000 0.5000  4 Zn 2.96
Pa: 0.0000 0.5000 0.0000  4 Zn 2.96
Pa: 0.5000 0.0000 0.0000  4 Zn 2.96
Pa: 0.5000 0.5000 0.5000  4 Zn 2.96
Zn: 0.2500 0.2500 0.7500  4 Pa 2.96, 4 Y 2.96
Zn: 0.2500 0.7500 0.2500  4 Pa 2.96, 4 Y 2.96
Zn: 0.7500 0.2500 0.2500  4 Pa 2.96, 4 Y 2.96
Zn: 0.7500 0.7500 0.7500  4 Y 2.96, 4 Pa 2.96

No. 4
A geometry-optimized PaZn3 structure, computed with PBE.

Summary:
- Space group: P6_3/mmc (194)

abc: 6.2472 6.2472 4.3746
angles: 90.00 90.00 120.00
With the nearest neighbours (Å) after each atom.
Atoms (fractional coordinates):
Pa: 0.3333 0.6667 0.2500  12 Zn 2.96-3.13
Pa: 0.6667 0.3333 0.7500  12 Zn 2.96-3.13
Zn: 0.1491 0.2982 0.7500  6 Zn 2.72-2.79, 2 Pa 2.96
Zn: 0.1491 0.8509 0.7500  6 Zn 2.72-2.79, 2 Pa 2.96
Zn: 0.2982 0.1491 0.2500  6 Zn 2.72-2.79, 2 Pa 2.96
Zn: 0.7018 0.8509 0.7500  6 Zn 2.72-2.79, 2 Pa 2.96
Zn: 0.8509 0.1491 0.2500  6 Zn 2.72-2.79, 2 Pa 2.96
Zn: 0.8509 0.7018 0.2500  6 Zn 2.72-2.79, 2 Pa 2.96

No. 5
A geometry-optimized Pa2Zn17 structure, computed with PBE.

Summary:
- Space group: R-3m (166)

abc: 6.7607 6.7607 6.7607
angles: 82.71 82.71 82.71
With the nearest neighbours (Å) after each atom.
Atoms (fractional coordinates):
Pa: 0.1617 0.1617 0.1617  19 Zn 3.11-3.42
Pa: 0.8383 0.8383 0.8383  19 Zn 3.11-3.42
Zn: 0.0000 0.5000 0.5000  10 Zn 2.57-2.72
Zn: 0.1462 0.1462 0.6601  8 Zn 2.54-2.76
Zn: 0.1462 0.6601 0.1462  8 Zn 2.54-2.76
Zn: 0.2034 0.5000 0.7966  8 Zn 2.57-2.76
Zn: 0.2034 0.7966 0.5000  8 Zn 2.57-2.76
Zn: 0.3399 0.8538 0.8538  8 Zn 2.54-2.76
Zn: 0.3988 0.3988 0.3988  13 Zn 2.65-2.96
Zn: 0.5000 0.0000 0.5000  10 Zn 2.57-2.72
Zn: 0.5000 0.2034 0.7966  8 Zn 2.57-2.76
Zn: 0.5000 0.5000 0.0000  10 Zn 2.57-2.72
Zn: 0.5000 0.7966 0.2034  8 Zn 2.57-2.76
Zn: 0.6012 0.6012 0.6012  13 Zn 2.65-2.96
Zn: 0.6601 0.1462 0.1462  8 Zn 2.54-2.76
Zn: 0.7966 0.2034 0.5000  8 Zn 2.57-2.76
Zn: 0.7966 0.5000 0.2034  8 Zn 2.57-2.76
Zn: 0.8538 0.3399 0.8538  8 Zn 2.54-2.76
Zn: 0.8538 0.8538 0.3399  8 Zn 2.54-2.76

No. 6
A geometry-optimized PaZn3 structure, computed with PBE.

Summary:
- Space group: Pmmn (59)

abc: 4.3077 6.2423 5.4359
angles: 90.00 90.00 90.00
With the nearest neighbours (Å) after each atom.
Atoms (fractional coordinates):
Pa: 0.2500 0.2500 0.1320  12 Zn 2.98-3.22
Pa: 0.7500 0.7500 0.8680  12 Zn 2.98-3.22
Zn: 0.2500 0.0193 0.6507  6 Zn 2.62-2.88
Zn: 0.2500 0.4807 0.6507  6 Zn 2.62-2.88
Zn: 0.2500 0.7500 0.2777  6 Zn 2.62-2.63
Zn: 0.7500 0.2500 0.7223  6 Zn 2.62-2.63
Zn: 0.7500 0.5193 0.3493  6 Zn 2.62-2.88
Zn: 0.7500 0.9807 0.3493  6 Zn 2.62-2.88

No. 7
A geometry-optimized PaZn3 structure, computed with PBE.

Summary:
- Space group: Cmcm (63)

abc: 6.8623 9.7270 4.3083
angles: 90.00 90.00 90.00
With the nearest neighbours (Å) after each atom.
Atoms (fractional coordinates):
Pa: 0.0000 0.0976 0.2500  2 Pa 2.87, 10 Zn 2.97-3.09
Pa: 0.0000 0.9024 0.7500  2 Pa 2.87, 10 Zn 2.97-3.09
Pa: 0.5000 0.4024 0.7500  2 Pa 2.87, 10 Zn 2.97-3.09
Pa: 0.5000 0.5976 0.2500  2 Pa 2.87, 10 Zn 2.97-3.09
Zn: 0.0000 0.3198 0.7500  4 Zn 2.59
Zn: 0.0000 0.6802 0.2500  4 Zn 2.59
Zn: 0.1879 0.3867 0.2500  3 Zn 2.58-2.59
Zn: 0.1879 0.6133 0.7500  3 Zn 2.58-2.59
Zn: 0.3121 0.1133 0.7500  3 Zn 2.58-2.59
Zn: 0.3121 0.8867 0.2500  3 Zn 2.58-2.59
Zn: 0.5000 0.1802 0.2500  4 Zn 2.59
Zn: 0.5000 0.8198 0.7500  4 Zn 2.59
Zn: 0.6879 0.1133 0.7500  3 Zn 2.58-2.59
Zn: 0.6879 0.8867 0.2500  3 Zn 2.58-2.59
Zn: 0.8121 0.3867 0.2500  3 Zn 2.58-2.59
Zn: 0.8121 0.6133 0.7500  3 Zn 2.58-2.59

No. 8
A geometry-optimized ZrPaZn structure, computed with PBE.

Summary:
- Space group: F-43m (216)
- Energy above the lowest structure with this stoichiometry: 0.0 meV per atom

abc: 6.6017 6.6017 6.6017
angles: 90.00 90.00 90.00
With the nearest neighbours (Å) after each atom.
Atoms (fractional coordinates):
Zr: 0.0000 0.0000 0.0000  4 Zn 2.86
Zr: 0.0000 0.5000 0.5000  4 Zn 2.86
Zr: 0.5000 0.0000 0.5000  4 Zn 2.86
Zr: 0.5000 0.5000 0.0000  4 Zn 2.86
Pa: 0.0000 0.0000 0.5000  4 Zn 2.86
Pa: 0.0000 0.5000 0.0000  4 Zn 2.86
Pa: 0.5000 0.0000 0.0000  4 Zn 2.86
Pa: 0.5000 0.5000 0.5000  4 Zn 2.86
Zn: 0.2500 0.2500 0.7500  4 Zr 2.86, 4 Pa 2.86
Zn: 0.2500 0.7500 0.2500  4 Zr 2.86, 4 Pa 2.86
Zn: 0.7500 0.2500 0.2500  4 Zr 2.86, 4 Pa 2.86
Zn: 0.7500 0.7500 0.7500  4 Zr 2.86, 4 Pa 2.86

No. 9
A geometry-optimized ZrPaZn structure, computed with PBE.

Summary:
- Space group: F-43m (216)
- Energy above the lowest structure with this stoichiometry: 595.5 meV per atom

abc: 6.6612 6.6612 6.6612
angles: 90.00 90.00 90.00
With the nearest neighbours (Å) after each atom.
Atoms (fractional coordinates):
Zr: 0.0000 0.0000 0.0000  4 Pa 2.88
Zr: 0.0000 0.5000 0.5000  4 Pa 2.88
Zr: 0.5000 0.0000 0.5000  4 Pa 2.88
Zr: 0.5000 0.5000 0.0000  4 Pa 2.88
Pa: 0.2500 0.2500 0.7500  4 Zr 2.88, 4 Zn 2.88
Pa: 0.2500 0.7500 0.2500  4 Zr 2.88, 4 Zn 2.88
Pa: 0.7500 0.2500 0.2500  4 Zr 2.88, 4 Zn 2.88
Pa: 0.7500 0.7500 0.7500  4 Zr 2.88, 4 Zn 2.88
Zn: 0.0000 0.0000 0.5000  4 Pa 2.88
Zn: 0.0000 0.5000 0.0000  4 Pa 2.88
Zn: 0.5000 0.0000 0.0000  4 Pa 2.88
Zn: 0.5000 0.5000 0.5000  4 Pa 2.88

No. 10
A geometry-optimized Zr2Pa structure, computed with PBE.

Summary:
- Space group: Cmcm (63)
- Energy above the lowest structure with this stoichiometry: 45.6 meV per atom

abc: 3.1227 16.7484 5.4555
angles: 90.00 90.00 90.00
With the nearest neighbours (Å) after each atom.
Atoms (fractional coordinates):
Zr: 0.0000 0.0416 0.2500  6 Zr 3.06-3.27, 6 Pa 3.16-3.42
Zr: 0.0000 0.2870 0.7500  4 Pa 3.12-3.17, 8 Zr 3.12-3.38
Zr: 0.0000 0.7130 0.2500  4 Pa 3.12-3.17, 8 Zr 3.12-3.38
Zr: 0.0000 0.9584 0.7500  6 Zr 3.06-3.27, 6 Pa 3.16-3.42
Zr: 0.5000 0.2130 0.2500  4 Pa 3.12-3.17, 8 Zr 3.12-3.38
Zr: 0.5000 0.4584 0.7500  6 Zr 3.06-3.27, 6 Pa 3.16-3.42
Zr: 0.5000 0.5416 0.2500  6 Zr 3.06-3.27, 6 Pa 3.16-3.42
Zr: 0.5000 0.7870 0.7500  4 Pa 3.12-3.17, 8 Zr 3.12-3.38
Pa: 0.0000 0.3776 0.2500  10 Zr 3.12-3.42, 2 Pa 3.12
Pa: 0.0000 0.6224 0.7500  10 Zr 3.12-3.42, 2 Pa 3.12
Pa: 0.5000 0.1224 0.7500  10 Zr 3.12-3.42, 2 Pa 3.12
Pa: 0.5000 0.8776 0.2500  10 Zr 3.12-3.42, 2 Pa 3.12

No. 11
A geometry-optimized Zr2Pa structure, computed with PBE.

Summary:
- Space group: P-62m (189)
- Energy above the lowest structure with this stoichiometry: 61.1 meV per atom

abc: 5.5272 5.5272 5.4313
angles: 90.00 90.00 120.00
With the nearest neighbours (Å) after each atom.
Atoms (fractional coordinates):
Zr: 0.0000 0.0000 0.0000  6 Pa 3.19, 6 Zr 3.25
Zr: 0.0000 0.3238 0.5000  8 Zr 3.10-3.25, 4 Pa 3.30
Zr: 0.3238 0.0000 0.5000  8 Zr 3.10-3.25, 4 Pa 3.30
Zr: 0.6762 0.6762 0.5000  8 Zr 3.10-3.25, 4 Pa 3.30
Pa: 0.3333 0.6667 0.0000  9 Zr 3.19-3.30, 3 Pa 3.19
Pa: 0.6667 0.3333 0.0000  9 Zr 3.19-3.30, 3 Pa 3.19

No. 12
A geometry-optimized ZrPa structure, computed with PBE.

Summary:
- Space group: Pmc2_1 (26)
- Energy above the lowest structure with this stoichiometry: 46.2 meV per atom

abc: 5.3926 9.3783 5.7132
angles: 90.00 90.00 90.00
With the nearest neighbours (Å) after each atom.
Atoms (fractional coordinates):
Zr: 0.0000 0.0774 0.0000  6 Zr 3.13-3.35, 6 Pa 3.18-3.40
Zr: 0.0000 0.9226 0.5000  6 Zr 3.13-3.35, 6 Pa 3.18-3.40
Zr: 0.5000 0.0860 0.7221  5 Pa 3.05-3.39, 7 Zr 3.13-3.35
Zr: 0.5000 0.4219 0.7615  9 Pa 3.08-3.41, 3 Zr 3.16-3.21
Zr: 0.5000 0.5781 0.2615  9 Pa 3.08-3.41, 3 Zr 3.16-3.21
Zr: 0.5000 0.9140 0.2221  5 Pa 3.05-3.39, 7 Zr 3.13-3.35
Pa: 0.0000 0.2619 0.5079  5 Pa 3.00-3.28, 2 Zr 3.18-3.30
Pa: 0.0000 0.4185 0.0215  5 Pa 3.00-3.28, 3 Zr 3.08-3.20
Pa: 0.0000 0.5815 0.5215  5 Pa 3.00-3.28, 3 Zr 3.08-3.20
Pa: 0.0000 0.7381 0.0079  5 Pa 3.00-3.28, 2 Zr 3.18-3.30
Pa: 0.5000 0.2386 0.2479  8 Zr 3.05-3.40, 2 Pa 3.09
Pa: 0.5000 0.7614 0.7479  8 Zr 3.05-3.40, 2 Pa 3.09

The calculation returns the following energy of formation from the pure elements values, one per record and in order: 0.604 3.104 0.433 -0.041 -0.120 -0.041 -0.021 0.414 1.010 0.072 0.088 0.072 eV per atom.
The calculation returns the following raw total energy values, one per record and in order: -0.332 -0.198 -0.195 -0.124 -0.083 -0.124 -0.123 -0.221 -0.199 -0.323 -0.322 -0.329 hartree per atom.